## Rb3In5Sn2 (GGA-PBE)

Data for an optimized crystal structure of Rb3In5Sn2. Values from VASP.

Quantum ESPRESSO input file:
```
&SYSTEM
  ibrav = 0, nat = 20, ntyp = 3
/
ATOMIC_SPECIES
Rb 85.47 Rb.upf
In 114.82 In.upf
Sn 118.71 Sn.upf
ATOMIC_POSITIONS angstrom
Rb 1.946 0.000 0.000
Rb 5.837 0.000 0.000
Rb 7.782 6.147 8.330
Rb 7.782 6.497 1.303
Rb 11.673 9.663 3.716
Rb 3.891 2.981 5.918
In 5.837 6.322 4.817
In 9.728 6.322 4.817
In 9.728 9.350 7.124
In 9.728 3.294 2.510
In 5.837 3.294 2.510
In 5.837 9.350 7.124
In 3.891 5.711 2.432
In 11.673 6.933 7.202
In 7.782 3.860 4.861
In 7.782 8.783 4.773
Sn 7.782 9.661 9.317
Sn 7.782 2.983 0.317
Sn 11.673 11.546 6.842
Sn 3.891 1.097 2.792
CELL_PARAMETERS angstrom
7.782 0.000 0.000
3.891 9.915 0.101
3.891 2.728 9.533
```



## RbInSn (GGA-PBE)

Data for an optimized crystal structure of RbInSn. Values from VASP.

Quantum ESPRESSO input file:
```
&SYSTEM
  ibrav = 0, nat = 6, ntyp = 3
/
ATOMIC_SPECIES
Sn 118.71 Sn.upf
Rb 85.47 Rb.upf
In 114.82 In.upf
ATOMIC_POSITIONS angstrom
Sn -0.661 -0.154 4.590
Sn -8.131 12.734 -12.753
Rb -4.874 8.235 -5.161
Rb -3.918 4.345 -3.002
In -2.640 0.950 -0.068
In -6.152 11.630 -8.095
CELL_PARAMETERS angstrom
-4.379 12.632 -10.025
-4.608 2.416 -4.690
0.195 -2.468 6.553
```



## Rb3In5Sn6 (GGA-PBE)

Data for an optimized crystal structure of Rb3In5Sn6. Values from VASP.

Quantum ESPRESSO input file:
```
&SYSTEM
  ibrav = 0, nat = 28, ntyp = 3
/
ATOMIC_SPECIES
Rb 85.47 Rb.upf
In 114.82 In.upf
Sn 118.71 Sn.upf
ATOMIC_POSITIONS angstrom
Rb 0.000 3.389 9.647
Rb 2.471 9.730 2.280
Rb 2.471 9.730 12.455
Rb 0.000 3.268 0.000
Rb 2.471 9.851 7.367
Rb 0.000 3.389 5.088
In 4.941 6.657 12.622
In 0.000 11.263 9.934
In 0.000 11.211 0.000
In 2.471 6.461 9.481
In 2.471 1.907 7.367
In 0.000 6.657 2.113
In 2.471 6.461 5.254
In 0.000 11.263 4.801
In 2.471 1.856 12.169
In 2.471 1.856 2.566
Sn 0.000 0.055 12.336
Sn 2.471 13.064 9.766
Sn 2.471 4.854 12.125
Sn 2.470 6.486 0.000
Sn 0.000 6.633 7.367
Sn 0.000 8.265 9.977
Sn 0.000 8.265 4.758
Sn 2.470 0.098 0.000
Sn 0.000 0.055 2.399
Sn 2.471 4.854 2.609
Sn 0.000 13.021 7.367
Sn 2.471 13.064 4.969
CELL_PARAMETERS angstrom
4.941 0.000 0.000
0.000 13.119 0.000
0.000 0.000 14.735
```



## RbIn6Sn2 (GGA-PBE)

Data for an optimized crystal structure of RbIn6Sn2. Values from VASP.

Quantum ESPRESSO input file:
```
&SYSTEM
  ibrav = 0, nat = 9, ntyp = 3
/
ATOMIC_SPECIES
Rb 85.47 Rb.upf
In 114.82 In.upf
Sn 118.71 Sn.upf
ATOMIC_POSITIONS angstrom
Rb 0.000 0.000 0.000
In 0.000 2.699 3.069
In 2.699 0.000 3.069
In 0.000 2.699 6.666
In 2.699 0.000 6.666
In 2.699 2.699 4.868
In 0.000 0.000 4.868
Sn 2.699 2.699 1.505
Sn 2.699 2.699 8.230
CELL_PARAMETERS angstrom
5.398 0.000 0.000
0.000 5.398 0.000
0.000 0.000 9.735
```



## RbIn12Sn4 (GGA-PBE)

Data for an optimized crystal structure of RbIn12Sn4. Values from VASP.

Quantum ESPRESSO input file:
```
&SYSTEM
  ibrav = 0, nat = 17, ntyp = 3
/
ATOMIC_SPECIES
Rb 85.47 Rb.upf
In 114.82 In.upf
Sn 118.71 Sn.upf
ATOMIC_POSITIONS angstrom
Rb 0.000 0.000 0.000
In -5.285 -0.325 -3.732
In -3.766 -0.719 0.957
In -3.327 4.191 -4.202
In -1.281 6.345 -0.249
In -4.420 0.182 4.732
In -3.981 5.092 -0.428
In -2.444 2.025 -2.355
In -5.303 2.349 2.885
In -6.465 -1.971 0.779
In -6.191 1.295 -1.398
In -1.556 3.078 1.928
In -2.462 4.698 4.261
Sn -2.349 -1.553 3.453
Sn -2.310 -0.609 -3.761
Sn -3.873 2.187 0.265
Sn 0.786 4.349 0.573
CELL_PARAMETERS angstrom
-4.620 -1.218 -7.523
-4.698 -3.105 6.907
1.571 8.697 1.146
```



## Rb3In9Sn2 (GGA-PBE)

Data for an optimized crystal structure of Rb3In9Sn2. Values from VASP.

Quantum ESPRESSO input file:
```
&SYSTEM
  ibrav = 0, nat = 14, ntyp = 3
/
ATOMIC_SPECIES
Rb 85.47 Rb.upf
In 114.82 In.upf
Sn 118.71 Sn.upf
ATOMIC_POSITIONS angstrom
Rb 0.000 0.000 0.000
Rb -4.575 -5.095 0.724
Rb -4.024 -10.467 2.742
In -1.794 -7.360 2.169
In -5.992 -13.432 1.674
In -2.607 -2.130 1.792
In -6.646 -12.447 4.477
In -1.953 -3.115 -1.011
In -6.035 -11.087 -0.343
In -2.564 -4.475 3.809
In -7.157 -9.395 4.468
In -1.442 -6.166 -1.002
Sn -4.806 -7.017 3.906
Sn -3.793 -8.545 -0.439
CELL_PARAMETERS angstrom
-5.011 -0.841 -0.873
-0.540 -9.250 -3.207
-3.048 -5.470 7.546
```



## RbIn7Sn5 (GGA-PBE)

Data for an optimized crystal structure of RbIn7Sn5. Values from VASP.

Quantum ESPRESSO input file:
```
&SYSTEM
  ibrav = 0, nat = 13, ntyp = 3
/
ATOMIC_SPECIES
Rb 85.47 Rb.upf
In 114.82 In.upf
Sn 118.71 Sn.upf
ATOMIC_POSITIONS angstrom
Rb -7.188 -6.511 -8.239
In -5.271 -0.342 -5.325
In -6.120 -3.073 -6.615
In -8.923 -0.398 -6.740
In -6.707 -0.040 -8.957
In -2.746 -0.526 -2.830
In -3.472 -1.360 -8.204
In -7.927 -2.081 -3.748
Sn -5.842 -0.415 -1.977
Sn -3.741 -1.943 -0.123
Sn -1.962 0.213 -5.858
Sn 0.140 -1.316 -4.004
Sn -8.653 -2.914 -9.122
CELL_PARAMETERS angstrom
-4.213 3.064 -3.716
0.287 -2.630 -8.003
-7.476 -3.885 -0.238
```



## RbInSn (GGA-PBE)

Data for an optimized crystal structure of RbInSn. Values from VASP.

Quantum ESPRESSO input file:
```
&SYSTEM
  ibrav = 0, nat = 6, ntyp = 3
/
ATOMIC_SPECIES
Sn 118.71 Sn.upf
Rb 85.47 Rb.upf
In 114.82 In.upf
ATOMIC_POSITIONS angstrom
Sn 1.533 2.655 3.737
Sn 3.066 0.000 7.888
Rb 0.000 0.000 6.217
Rb 0.000 0.000 2.066
In 1.533 2.655 0.423
In 3.066 0.000 4.573
CELL_PARAMETERS angstrom
4.599 -2.655 0.000
0.000 5.310 0.000
0.000 0.000 8.301
```



! GGA-PBE RbInSn3, relaxed; values from VASP
&SYSTEM
  ibrav = 0, nat = 5, ntyp = 3
/
ATOMIC_SPECIES
Rb 85.47 Rb.upf
In 114.82 In.upf
Sn 118.71 Sn.upf
ATOMIC_POSITIONS angstrom
Rb 2.321 1.485 7.295
In -0.067 4.518 5.985
Sn 2.910 5.014 5.591
Sn 0.676 2.496 3.837
Sn 3.655 2.991 3.440
CELL_PARAMETERS angstrom
5.077 -0.005 1.752
-0.609 5.038 1.756
0.456 0.508 6.897
! offset from the most stable computed form = 0 meV per atom



! GGA-PBE Rb2InSn3, relaxed; values from VASP
&SYSTEM
  ibrav = 0, nat = 6, ntyp = 3
/
ATOMIC_SPECIES
Rb 85.47 Rb.upf
In 114.82 In.upf
Sn 118.71 Sn.upf
ATOMIC_POSITIONS angstrom
Rb -6.345 2.333 2.096
Rb -6.032 0.677 -3.682
In -3.674 0.441 -0.089
Sn -8.679 2.545 -1.623
Sn -3.858 2.965 -1.399
Sn -8.517 0.084 -0.071
CELL_PARAMETERS angstrom
-2.719 3.825 -1.244
-4.495 -2.036 -5.908
-5.154 1.226 5.563
! offset from the most stable computed form = 0 meV per atom



! GGA-PBE Rb3InSn, relaxed; values from VASP
&SYSTEM
  ibrav = 0, nat = 5, ntyp = 3
/
ATOMIC_SPECIES
Sn 118.71 Sn.upf
Rb 85.47 Rb.upf
In 114.82 In.upf
ATOMIC_POSITIONS angstrom
Sn 0.000 0.000 0.000
Rb 0.000 3.531 0.000
Rb 0.000 0.000 3.531
Rb 3.531 0.000 0.000
In 3.531 3.531 3.531
CELL_PARAMETERS angstrom
7.062 0.000 0.000
0.000 7.062 0.000
0.000 0.000 7.062
! offset from the most stable computed form = 357 meV per atom



## RbIn7Sn12 (GGA-PBE)

Data for an optimized crystal structure of RbIn7Sn12. Values from VASP.

Quantum ESPRESSO input file:
```
&SYSTEM
  ibrav = 0, nat = 20, ntyp = 3
/
ATOMIC_SPECIES
Rb 85.47 Rb.upf
In 114.82 In.upf
Sn 118.71 Sn.upf
ATOMIC_POSITIONS angstrom
Rb 0.000 0.000 0.000
In 3.237 -2.289 3.965
In 3.237 4.578 0.000
In -3.237 2.289 3.965
In -1.619 -2.289 3.965
In 4.856 0.000 0.000
In 1.619 2.289 3.965
In -1.619 4.578 0.000
Sn 0.817 -0.578 4.723
Sn 0.619 6.429 1.001
Sn 2.420 5.156 3.206
Sn 2.618 -1.851 6.929
Sn 3.857 2.230 1.861
Sn 5.657 4.777 1.861
Sn -0.619 2.348 6.068
Sn -2.420 -0.199 6.068
Sn 5.855 -0.497 2.862
Sn -2.618 5.075 5.067
Sn -0.817 3.802 2.862
Sn 4.054 0.776 5.067
CELL_PARAMETERS angstrom
9.712 0.000 0.000
-3.237 9.156 0.000
-3.237 -4.578 7.929
```



## RbIn6Sn (GGA-PBE)

Data for an optimized crystal structure of RbIn6Sn. Values from VASP.

Quantum ESPRESSO input file:
```
&SYSTEM
  ibrav = 0, nat = 8, ntyp = 3
/
ATOMIC_SPECIES
Rb 85.47 Rb.upf
In 114.82 In.upf
Sn 118.71 Sn.upf
ATOMIC_POSITIONS angstrom
Rb 0.000 0.000 0.000
In -1.221 5.249 3.764
In 2.557 4.899 3.560
In 0.237 0.188 4.059
In 0.856 5.797 5.898
In 2.229 1.927 2.586
In -1.549 2.277 2.790
Sn 0.461 4.184 1.371
CELL_PARAMETERS angstrom
-3.693 -0.842 3.812
3.863 -1.541 3.403
0.923 8.368 2.743
```



## RbInSn (GGA-PBE)

Data for an optimized crystal structure of RbInSn. Values from VASP.

Quantum ESPRESSO input file:
```
&SYSTEM
  ibrav = 0, nat = 6, ntyp = 3
/
ATOMIC_SPECIES
Sn 118.71 Sn.upf
Rb 85.47 Rb.upf
In 114.82 In.upf
ATOMIC_POSITIONS angstrom
Sn 0.668 -0.371 2.355
Sn 1.552 -0.862 5.468
Rb -0.705 2.931 0.662
Rb 0.405 2.314 4.573
In -2.415 0.486 2.469
In -1.071 -0.260 7.203
CELL_PARAMETERS angstrom
1.442 5.132 0.400
-5.000 -1.471 1.187
2.220 -1.233 7.823
```



! GGA-PBE Rb3In2Sn4, relaxed; values from VASP
&SYSTEM
  ibrav = 0, nat = 9, ntyp = 3
/
ATOMIC_SPECIES
Rb 85.47 Rb.upf
In 114.82 In.upf
Sn 118.71 Sn.upf
ATOMIC_POSITIONS angstrom
Rb 5.192 2.619 6.081
Rb 0.000 0.000 0.000
Rb 5.160 7.133 3.474
In 5.146 3.065 2.383
In 5.207 6.687 7.172
Sn 2.602 2.709 0.500
Sn 7.829 5.429 6.172
Sn 2.524 4.324 3.383
Sn 7.750 7.043 9.055
CELL_PARAMETERS angstrom
5.207 -0.009 -0.026
2.589 6.969 0.035
2.556 2.793 9.546
! offset from the most stable computed form = 70 meV per atom



## RbInSn (GGA-PBE)

Data for an optimized crystal structure of RbInSn. Values from VASP.

Quantum ESPRESSO input file:
```
&SYSTEM
  ibrav = 0, nat = 12, ntyp = 3
/
ATOMIC_SPECIES
Sn 118.71 Sn.upf
Rb 85.47 Rb.upf
In 114.82 In.upf
ATOMIC_POSITIONS angstrom
Sn 4.221 5.770 0.000
Sn 4.221 2.673 4.087
Sn 2.673 4.221 2.043
Sn 5.770 4.221 6.130
Rb 0.000 5.468 0.000
Rb 0.000 2.975 4.087
Rb 2.975 0.000 2.043
Rb 5.468 0.000 6.130
In 5.493 5.493 3.065
In 2.950 2.950 7.152
In 2.950 5.493 5.109
In 5.493 2.950 1.022
CELL_PARAMETERS angstrom
8.443 0.000 0.000
0.000 8.443 0.000
0.000 0.000 8.174
```



! GGA-PBE RbIn4Sn, relaxed; values from VASP
&SYSTEM
  ibrav = 0, nat = 6, ntyp = 3
/
ATOMIC_SPECIES
Sn 118.71 Sn.upf
Rb 85.47 Rb.upf
In 114.82 In.upf
ATOMIC_POSITIONS angstrom
Sn 0.000 0.000 0.000
Rb -1.412 -2.941 -2.202
In -0.851 -5.942 -4.412
In -3.433 -4.156 -5.143
In -3.532 -7.358 -5.508
In -3.480 -6.073 -2.551
CELL_PARAMETERS angstrom
-0.104 -2.561 -5.894
-0.198 -6.383 -0.728
-5.346 -2.821 -2.185
! offset from the most stable computed form = 84 meV per atom



## Rb2In3Sn (GGA-PBE)

Data for an optimized crystal structure of Rb2In3Sn. Values from VASP.

Quantum ESPRESSO input file:
```
&SYSTEM
  ibrav = 0, nat = 6, ntyp = 3
/
ATOMIC_SPECIES
Rb 85.47 Rb.upf
In 114.82 In.upf
Sn 118.71 Sn.upf
ATOMIC_POSITIONS angstrom
Rb -3.887 -1.788 5.252
Rb -5.515 -4.876 2.012
In -6.806 -3.960 5.723
In -5.071 -0.893 1.721
In -4.334 -5.740 5.527
Sn -2.585 -2.717 1.576
CELL_PARAMETERS angstrom
-4.829 0.669 1.788
-3.951 -5.456 -1.089
-0.619 -1.872 6.572
```



! GGA-PBE Rb2InSn, relaxed; values from VASP
&SYSTEM
  ibrav = 0, nat = 4, ntyp = 3
/
ATOMIC_SPECIES
Rb 85.47 Rb.upf
In 114.82 In.upf
Sn 118.71 Sn.upf
ATOMIC_POSITIONS angstrom
Rb -0.338 -1.610 -6.004
Rb 0.574 -6.047 -5.296
In 0.163 -3.005 -2.252
Sn -0.962 -7.185 -8.674
CELL_PARAMETERS angstrom
-3.292 -3.522 -0.869
-0.193 -1.518 -6.931
3.237 -5.846 -2.395
! offset from the most stable computed form = 43 meV per atom



## RbInSn (GGA-PBE)

Data for an optimized crystal structure of RbInSn. Values from VASP.

Quantum ESPRESSO input file:
```
&SYSTEM
  ibrav = 0, nat = 6, ntyp = 3
/
ATOMIC_SPECIES
Sn 118.71 Sn.upf
Rb 85.47 Rb.upf
In 114.82 In.upf
ATOMIC_POSITIONS angstrom
Sn -2.929 -3.239 -1.631
Sn 1.841 -6.208 -2.109
Rb 2.403 -2.943 -3.928
Rb -3.490 -6.504 0.189
In -1.266 -1.530 -3.136
In -0.544 -4.723 -1.870
CELL_PARAMETERS angstrom
-5.714 -1.776 -1.219
3.182 -1.283 -5.052
1.445 -6.387 2.532
```



## Rb2In3Sn6 (GGA-PBE)

Data for an optimized crystal structure of Rb2In3Sn6. Values from VASP.

Quantum ESPRESSO input file:
```
&SYSTEM
  ibrav = 0, nat = 11, ntyp = 3
/
ATOMIC_SPECIES
Rb 85.47 Rb.upf
In 114.82 In.upf
Sn 118.71 Sn.upf
ATOMIC_POSITIONS angstrom
Rb 3.397 -3.628 -1.164
Rb 3.863 -0.997 3.186
In 1.150 -3.649 2.084
In 0.245 -5.810 -2.115
In 1.115 -0.888 6.021
Sn 3.630 -5.228 2.774
Sn -0.363 -1.446 3.447
Sn 1.432 -0.912 0.399
Sn 2.354 -5.025 -4.427
Sn -0.757 -3.672 -0.232
Sn 3.474 1.312 6.050
CELL_PARAMETERS angstrom
-3.167 -3.814 2.646
2.932 -6.260 -5.514
4.328 1.634 7.536
```



! GGA-PBE RbIn2Sn2, relaxed; values from VASP
&SYSTEM
  ibrav = 0, nat = 10, ntyp = 3
/
ATOMIC_SPECIES
Sn 118.71 Sn.upf
Rb 85.47 Rb.upf
In 114.82 In.upf
ATOMIC_POSITIONS angstrom
Sn 1.379 6.102 1.761
Sn 6.102 8.066 1.761
Sn 8.066 3.344 1.761
Sn 3.344 1.379 1.761
Rb 0.000 0.000 0.000
Rb 4.723 4.723 0.000
In 3.418 8.141 0.000
In 8.141 6.028 0.000
In 6.028 1.305 0.000
In 1.305 3.418 0.000
CELL_PARAMETERS angstrom
9.445 0.000 0.000
0.000 9.445 0.000
0.000 0.000 3.523
! offset from the most stable computed form = 113 meV per atom



| no. | total DFT energy (no corrections) (eV/atom) | formation enthalpy at 0 K (eV per atom) | magnetic moment (μB per formula unit) |
| --- | --- | --- | --- |
| 1 | -2.556 | -0.096 | 0.00 |
| 2 | -2.724 | -0.154 | 0.00 |
| 3 | -3.010 | -0.109 | 0.00 |
| 4 | -2.863 | -0.041 | 0.00 |
| 5 | -2.867 | 0.065 | 0.00 |
| 6 | -2.623 | -0.083 | 0.00 |
| 7 | -3.093 | -0.004 | 0.00 |
| 8 | -2.687 | -0.117 | 0.00 |
| 9 | -3.285 | -0.143 | 0.00 |
| 10 | -2.947 | -0.167 | 0.00 |
| 11 | -1.601 | 0.328 | 0.61 |
| 12 | -3.279 | 0.130 | 0.00 |
| 13 | -2.739 | -0.064 | 0.00 |
| 14 | -2.679 | -0.109 | 0.00 |
| 15 | -2.809 | -0.099 | 0.00 |
| 16 | -2.666 | -0.097 | 0.00 |
| 17 | -2.617 | 0.037 | 0.00 |
| 18 | -2.524 | -0.165 | 0.00 |
| 19 | -2.261 | -0.091 | 0.00 |
| 20 | -2.568 | 0.001 | 0.00 |
| 21 | -3.151 | -0.045 | 0.00 |
| 22 | -2.939 | -0.049 | 0.00 |